(1)
Computed, not measured: a relaxed LiPuIrPt crystal at the PBE-GGA level of DFT.

Summary:
Total DFT energy (no corrections) ... -8.236 eV per atom

Unit cell a=6.5418 b=6.5418 c=6.5418 alpha=90.00 beta=90.00 gamma=90.00
Space group F-43m (No. 216)
Asymmetric unit:
Li: 0.0000 0.0000 0.0000 [4 per cell]
Pu: 0.0000 0.0000 0.5000 [4 per cell]
Ir: 0.2500 0.2500 0.7500 [4 per cell]
Pt: 0.2500 0.2500 0.2500 [4 per cell]



(2)
Computed, not measured: a relaxed Li2ReIrPt crystal at the PBE-GGA level of DFT.

Summary:
Total DFT energy (no corrections) ... -5.293 eV per atom

Unit cell a=4.2946 b=4.2946 c=4.7284 alpha=90.00 beta=90.00 gamma=90.00
Space group P4/mmm (No. 123)
Asymmetric unit:
Li: 0.0000 0.5000 0.0000 [2 per cell]
Re: 0.0000 0.0000 0.5000 [1 per cell]
Ir: 0.0000 0.0000 0.0000 [1 per cell]
Pt: 0.5000 0.5000 0.5000 [1 per cell]



(3)
Computed, not measured: a relaxed LiSiIrPt2 crystal at the PBE-GGA level of DFT.

Summary:
Total DFT energy (no corrections) ... -5.133 eV per atom

Unit cell a=4.4375 b=4.4375 c=4.2603 alpha=90.00 beta=90.00 gamma=90.00
Space group P4/mmm (No. 123)
Asymmetric unit:
Li: 0.0000 0.0000 0.0000 [1 per cell]
Si: 0.0000 0.0000 0.5000 [1 per cell]
Ir: 0.5000 0.5000 0.0000 [1 per cell]
Pt: 0.0000 0.5000 0.5000 [2 per cell]



(4)
Computed, not measured: a relaxed SrLiIrPt2 crystal at the PBE-GGA level of DFT.

Summary:
Total DFT energy (no corrections) ... -4.518 eV per atom

Unit cell a=4.9704 b=4.9704 c=5.4214 alpha=90.00 beta=90.00 gamma=90.00
Space group P4/mmm (No. 123)
Asymmetric unit:
Sr: 0.0000 0.0000 0.0000 [1 per cell]
Li: 0.5000 0.5000 0.0000 [1 per cell]
Ir: 0.0000 0.0000 0.5000 [1 per cell]
Pt: 0.0000 0.5000 0.5000 [2 per cell]



(5)
Computed, not measured: a relaxed Sr2LiIrPt crystal at the PBE-GGA level of DFT.

Summary:
Total DFT energy (no corrections) ... -3.881 eV per atom

Unit cell a=5.6703 b=5.6703 c=4.4886 alpha=90.00 beta=90.00 gamma=90.00
Space group P4/mmm (No. 123)
Asymmetric unit:
Sr: 0.0000 0.5000 0.0000 [2 per cell]
Li: 0.0000 0.0000 0.5000 [1 per cell]
Ir: 0.5000 0.5000 0.5000 [1 per cell]
Pt: 0.0000 0.0000 0.0000 [1 per cell]



(6)
Computed, not measured: a relaxed SrLiIr2Pt crystal at the PBE-GGA level of DFT.

Summary:
Total DFT energy (no corrections) ... -3.525 eV per atom

Unit cell a=4.9104 b=4.9104 c=4.2447 alpha=90.00 beta=90.00 gamma=90.00
Space group P4/mmm (No. 123)
Asymmetric unit:
Sr: 0.0000 0.0000 0.0000 [1 per cell]
Li: 0.0000 0.0000 0.5000 [1 per cell]
Ir: 0.0000 0.5000 0.0000 [2 per cell]
Pt: 0.5000 0.5000 0.5000 [1 per cell]



| no. | DOS(E_F) (states/eV/cell) | calculated density (g/cm³) |
| --- | --- | --- |
| 1 | 21.3 | 15.14 |
| 2 | 4.5 | 11.18 |
| 3 | 3.8 | 12.22 |
| 4 | 5.8 | 8.39 |
| 5 | 1.7 | 6.55 |
| 6 | 8.3 | 10.94 |